[1]
Ti3H3Au | Alexandria | meta-GGA SCAN | PBEsol geometry; volume = 142 Å³/cell; density = 8.04 g cm⁻³; VASP energy = -263.4 eV for the cell shown
1.0
5.216 0.000 0.000
0.000 5.216 0.000
0.000 0.000 5.216
Ti H Au
6 6 2
Direct
0.000 0.250 0.500 Ti
0.000 0.750 0.500 Ti
0.250 0.500 0.000 Ti
0.500 0.000 0.250 Ti
0.500 0.000 0.750 Ti
0.750 0.500 0.000 Ti
0.000 0.500 0.250 H
0.000 0.500 0.750 H
0.250 0.000 0.500 H
0.500 0.250 0.000 H
0.500 0.750 0.000 H
0.750 0.000 0.500 H
0.000 0.000 0.000 Au
0.500 0.500 0.500 Au



[2]
Zn2FeIr | Alexandria | meta-GGA SCAN | PBEsol geometry; volume = 52 Å³/cell; density = 12.13 g cm⁻³; VASP energy = -116.9 eV for the cell shown
1.0
4.328 -1.380 0.000
4.328 1.380 0.000
-0.977 0.000 4.342
Zn Fe Ir
2 1 1
Direct
0.249 0.249 0.247 Zn
0.751 0.751 0.753 Zn
0.500 0.500 0.000 Fe
0.000 0.000 0.500 Ir



[3]
BPN2 | Alexandria | meta-GGA SCAN | PBEsol geometry; volume = 38 Å³/cell; density = 3.03 g cm⁻³; ΔE_f (raw) = 1.13 eV per formula unit
1.0
1.510 0.872 4.846
-1.510 0.872 4.846
0.000 -1.744 4.846
B P N
1 1 2
Direct
0.000 0.000 0.000 B
0.500 0.500 0.500 P
0.094 0.094 0.094 N
0.906 0.906 0.906 N



> Which of these has the highest density?

Zn2FeIr



> Look up the density of the first one.

8.04 g cm⁻³